(1)
# Ca4TlAu (GGA-PBE, optimized geometry)
# E above lowest polymorph = 65.1 kJ/mol of atoms
# E_form = 22.8 kJ per mole of atoms
data_Ca4TlAu
_chemical_formula_sum 'Ca4 Tl1 Au1'
_cell_length_a 6.575
_cell_length_b 6.575
_cell_length_c 6.575
_cell_angle_alpha 60.00
_cell_angle_beta 60.00
_cell_angle_gamma 60.00
_space_group_name_H-M_alt 'P 1'
_space_group_IT_number 1
_space_group_name_Hall 'P 1'
loop_
_atom_site_label
_atom_site_type_symbol
_atom_site_fract_x
_atom_site_fract_y
_atom_site_fract_z
Ca1 Ca 0.125 0.125 0.125
Ca2 Ca 0.125 0.125 0.625
Ca3 Ca 0.125 0.625 0.125
Ca4 Ca 0.625 0.125 0.125
Tl1 Tl 0.750 0.750 0.750
Au1 Au 0.500 0.500 0.500


(2)
# CaTlAu5 (GGA-PBE, optimized geometry)
# E_form = -29.4 kJ per mole of atoms
data_CaTlAu5
_chemical_formula_sum 'Ca4 Tl4 Au20'
_cell_length_a 9.213
_cell_length_b 5.718
_cell_length_c 11.603
_cell_angle_alpha 90.00
_cell_angle_beta 90.00
_cell_angle_gamma 90.00
_space_group_name_H-M_alt 'P 1'
_space_group_IT_number 1
_space_group_name_Hall 'P 1'
loop_
_atom_site_label
_atom_site_type_symbol
_atom_site_fract_x
_atom_site_fract_y
_atom_site_fract_z
Ca1 Ca 0.243 0.250 0.053
Ca2 Ca 0.257 0.750 0.553
Ca3 Ca 0.743 0.250 0.447
Ca4 Ca 0.757 0.750 0.947
Tl1 Tl 0.119 0.250 0.357
Tl2 Tl 0.381 0.750 0.857
Tl3 Tl 0.619 0.250 0.143
Tl4 Tl 0.881 0.750 0.643
Au1 Au 0.079 0.507 0.816
Au2 Au 0.079 0.993 0.816
Au3 Au 0.090 0.250 0.596
Au4 Au 0.101 0.750 0.026
Au5 Au 0.169 0.750 0.269
Au6 Au 0.331 0.250 0.769
Au7 Au 0.399 0.250 0.526
Au8 Au 0.410 0.750 0.096
Au9 Au 0.421 0.007 0.316
Au10 Au 0.421 0.493 0.316
Au11 Au 0.579 0.507 0.684
Au12 Au 0.579 0.993 0.684
Au13 Au 0.590 0.250 0.904
Au14 Au 0.601 0.750 0.474
Au15 Au 0.669 0.750 0.231
Au16 Au 0.831 0.250 0.731
Au17 Au 0.899 0.250 0.974
Au18 Au 0.910 0.750 0.404
Au19 Au 0.921 0.007 0.184
Au20 Au 0.921 0.493 0.184


(3)
# Ca3Tl2Au (GGA-PBE, optimized geometry)
# E_form = -52.0 kJ per mole of atoms
data_Ca3Tl2Au
_chemical_formula_sum 'Ca3 Tl2 Au1'
_cell_length_a 3.808
_cell_length_b 3.808
_cell_length_c 11.429
_cell_angle_alpha 90.00
_cell_angle_beta 90.00
_cell_angle_gamma 90.00
_space_group_name_H-M_alt 'P 1'
_space_group_IT_number 1
_space_group_name_Hall 'P 1'
loop_
_atom_site_label
_atom_site_type_symbol
_atom_site_fract_x
_atom_site_fract_y
_atom_site_fract_z
Ca1 Ca 0.000 0.000 0.000
Ca2 Ca 0.000 0.000 0.349
Ca3 Ca 0.000 0.000 0.651
Tl1 Tl 0.500 0.500 0.169
Tl2 Tl 0.500 0.500 0.831
Au1 Au 0.500 0.500 0.500


(4)
# Ca2Tl2Au (GGA-PBE, optimized geometry)
# E above lowest polymorph = 11.0 kJ/mol of atoms
# E_form = -34.8 kJ per mole of atoms
data_Ca2Tl2Au
_chemical_formula_sum 'Ca4 Tl4 Au2'
_cell_length_a 7.764
_cell_length_b 7.764
_cell_length_c 4.648
_cell_angle_alpha 90.00
_cell_angle_beta 90.00
_cell_angle_gamma 90.00
_space_group_name_H-M_alt 'P 1'
_space_group_IT_number 1
_space_group_name_Hall 'P 1'
loop_
_atom_site_label
_atom_site_type_symbol
_atom_site_fract_x
_atom_site_fract_y
_atom_site_fract_z
Ca1 Ca 0.168 0.332 0.000
Ca2 Ca 0.332 0.832 0.000
Ca3 Ca 0.668 0.168 0.000
Ca4 Ca 0.832 0.668 0.000
Tl1 Tl 0.139 0.639 0.500
Tl2 Tl 0.361 0.139 0.500
Tl3 Tl 0.639 0.861 0.500
Tl4 Tl 0.861 0.361 0.500
Au1 Au 0.000 0.000 0.500
Au2 Au 0.500 0.500 0.500